# 1
LaV2BiO8: optimized geometry, PBE with a Hubbard U.

Summary:
Relative energy among the computed polymorphs: 0 meV per atom
Space group: I-4m2, No. 119

a = 6.2157 Å, b = 6.2157 Å, c = 6.2157 Å
α = 106.13°, β = 106.13°, γ = 116.38°
Positions (direct):
La  0.0000  0.0000  0.0000
V  0.5000  0.5000  0.0000
V  0.7500  0.2500  0.5000
Bi  0.2500  0.7500  0.5000
O  0.3312  0.1505  0.8193
O  0.3312  0.5119  0.1807
O  0.3995  0.0778  0.3217
O  0.4881  0.6688  0.8193
O  0.7561  0.0778  0.6783
O  0.8495  0.6688  0.1807
O  0.9222  0.2439  0.3217
O  0.9222  0.6005  0.6783

***

# 2
LaV2BiO8: optimized geometry, PBE with a Hubbard U.

Summary:
Relative energy among the computed polymorphs: 125 meV per atom
Space group: P-3m1, No. 164

a = 5.8822 Å, b = 5.8822 Å, c = 6.9640 Å
α = 90.00°, β = 90.00°, γ = 120.00°
Positions (direct):
La  0.0000  0.0000  0.0000
V  0.3333  0.6667  0.3256
V  0.6667  0.3333  0.6744
Bi  0.0000  0.0000  0.5000
O  0.1657  0.3315  0.2489
O  0.1657  0.8343  0.2489
O  0.3315  0.1657  0.7511
O  0.3333  0.6667  0.5617
O  0.6667  0.3333  0.4383
O  0.6685  0.8343  0.2489
O  0.8343  0.1657  0.7511
O  0.8343  0.6685  0.7511

***

Q: What is the formula in the second record?
A: LaV2BiO8

***

What did the first record say?
LaV2BiO8: optimized geometry, PBE with a Hubbard U.

Summary:
Relative energy among the computed polymorphs: 0 meV per atom
Space group: I-4m2, No. 119

a = 6.2157 Å, b = 6.2157 Å, c = 6.2157 Å
α = 106.13°, β = 106.13°, γ = 116.38°
Positions (direct):
La  0.0000  0.0000  0.0000
V  0.5000  0.5000  0.0000
V  0.7500  0.2500  0.5000
Bi  0.2500  0.7500  0.5000
O  0.3312  0.1505  0.8193
O  0.3312  0.5119  0.1807
O  0.3995  0.0778  0.3217
O  0.4881  0.6688  0.8193
O  0.7561  0.0778  0.6783
O  0.8495  0.6688  0.1807
O  0.9222  0.2439  0.3217
O  0.9222  0.6005  0.6783

***

Q: relative energy among the computed polymorphs of number 1 (LaV2BiO8)?
A: 0 meV per atom